A relaxed Ta2Nb5Ir crystal. Source: the Alexandria database, functional PBE.

a b c (Å): 4.619 4.619 7.364
angles (deg): 108.28 108.28 90.00
Fractional positions:
Nb 0.623 0.123 0.247
Nb 0.377 0.877 0.753
Nb 0.500 0.500 0.000
Nb 0.877 0.377 0.753
Nb 0.123 0.623 0.247
Ta 0.253 0.253 0.506
Ta 0.747 0.747 0.494
Ir 0.000 0.000 0.000

Computed properties:
- symmetry = I4/mmm, No. 139


A relaxed AcPr4Y7 crystal. Source: the Alexandria database, functional PBE.

a b c (Å): 7.371 9.742 9.099
angles (deg): 81.04 89.90 40.98
Fractional positions:
Y 0.224 0.777 0.664
Y 0.250 0.499 0.001
Y 0.750 0.501 0.999
Y 0.776 0.223 0.336
Y 0.029 0.721 0.334
Y 0.500 0.000 0.000
Y 0.971 0.279 0.666
Pr 0.277 0.221 0.333
Pr 0.468 0.280 0.664
Pr 0.723 0.779 0.667
Pr 0.532 0.720 0.336
Ac 0.000 0.000 0.000

Computed properties:
- symmetry = P-1, No. 2
- ΔE to the lowest computed polymorph (eV/atom) = 0.000


A relaxed GdScIn2 crystal. Source: the Alexandria database, functional PBE.

a b c (Å): 3.613 3.613 7.623
angles (deg): 90.00 90.00 90.00
Each line ends with the local moment (μB).
Fractional positions:
Sc 0.500 0.500 0.000  -0.11
In 0.000 0.000 0.229  -0.03
In 0.000 0.000 0.771  -0.03
Gd 0.500 0.500 0.500  7.15

Computed properties:
- symmetry = P4/mmm, No. 123
- ΔE to the lowest computed polymorph (eV/atom) = 0.000


A relaxed ReWAu2 crystal. Source: the Alexandria database, functional PBE.

a b c (Å): 4.542 4.542 4.542
angles (deg): 60.00 60.00 60.00
Fractional positions:
W 0.000 0.000 0.000
Re 0.500 0.500 0.500
Au 0.250 0.250 0.250
Au 0.750 0.750 0.750

Computed properties:
- symmetry = Fm-3m, No. 225
- ΔE to the lowest computed polymorph (eV/atom) = 0.538


A relaxed GdAg3 crystal. Source: the Alexandria database, functional PBE.

a b c (Å): 3.204 4.986 5.291
angles (deg): 90.00 90.00 90.00
Each line ends with the local moment (μB).
Fractional positions:
Ag 0.000 0.000 0.981  0.00
Ag 0.500 0.500 0.834  0.01
Ag 0.500 0.000 0.518  0.01
Gd 0.000 0.500 0.334  7.21

Computed properties:
- symmetry = Pmm2, No. 25


A relaxed AlCdAu2 crystal. Source: the Alexandria database, functional PBE.

a b c (Å): 5.183 5.183 5.183
angles (deg): 133.45 133.45 67.96
Fractional positions:
Al 0.750 0.250 0.500
Cd 0.500 0.500 0.000
Au 0.250 0.750 0.500
Au 0.000 0.000 0.000

Computed properties:
- symmetry = I-4m2, No. 119
- ΔE to the lowest computed polymorph (eV/atom) = 0.113


| no. | density (g cm⁻³) | spin magnetization (μB/cell) | energy (eV per atom) |
| --- | --- | --- | --- |
| 1 | 12.01 | 0.00 | -10.59 |
| 2 | 5.63 | 0.00 | -5.69 |
| 3 | 7.20 | 7.12 | -6.93 |
| 4 | 19.15 | 0.00 | -7.15 |
| 5 | 9.45 | 7.41 | -5.72 |
| 6 | 12.28 | 0.00 | -2.96 |